Entry 1:
VASP calculation (PBE) on a relaxed CaGa6 crystal.

Structure (POSCAR):
```
CaGa6
1.0
6.1225 0.0000 0.0000
-2.0408 5.7724 0.0000
-2.0408 -2.8862 4.9990
Ga Ca
6 1
Direct
0.5000 0.7500 0.2500
0.7500 0.5000 0.2500
0.2500 0.7500 0.5000
0.5000 0.2500 0.7500
0.7500 0.2500 0.5000
0.2500 0.5000 0.7500
0.0000 0.0000 0.0000
```

Output
E_form: 21 meV per atom
D(E_F): 0.67 states/eV per atom
symmetry: Im-3m
calculated volume: 176.7 Å³/f.u.
total energy: -2.8597 eV per atom
total magnetic moment: 0.0 μB per formula unit

=====

Entry 2:
VASP calculation (PBE) on a relaxed Ca3Ga crystal.

Structure (POSCAR):
```
Ca3Ga
1.0
4.0028 0.0000 0.0000
0.0000 7.9830 0.2768
0.0000 -1.6640 8.6748
Ga Ca
2 6
Direct
0.2500 0.6393 0.2684
0.7500 0.3607 0.7316
0.7500 0.9136 0.1863
0.2500 0.6227 0.8859
0.7500 0.3773 0.1141
0.2500 0.0864 0.8137
0.2500 0.2928 0.4608
0.7500 0.7072 0.5392
```

Output
E_form: -218 meV per atom
D(E_F): 0.67 states/eV per atom
symmetry: P2_1/m
calculated volume: 139.5 Å³/f.u.
total energy: -2.4760 eV per atom
total magnetic moment: 0.0 μB per formula unit

=====

Entry 3:
VASP calculation (PBE) on a relaxed Ca3Ga crystal.

Structure (POSCAR):
```
Ca3Ga
1.0
3.9068 0.0000 0.0000
0.0000 3.6895 0.0000
0.0000 0.0000 10.0637
Ca Ga
3 1
Direct
0.5000 0.0000 0.7524
0.0000 0.5000 0.4617
0.5000 0.5000 0.1338
0.0000 0.0000 0.9855
```

Output
E_form: -47 meV per atom
D(E_F): 1.02 states/eV per atom
symmetry: Pmm2
calculated volume: 145.1 Å³/f.u.
total energy: -2.3050 eV per atom
total magnetic moment: 0.0 μB per formula unit

=====

Entry 4:
VASP calculation (PBE) on a relaxed CaGa2 crystal.

Structure (POSCAR):
```
CaGa2
1.0
-1.4475 -4.3706 3.2198
0.4009 -0.6244 -5.5690
8.9356 -2.2959 0.9007
Ga Ca
8 4
Direct
0.6554 0.8277 0.7500
0.3446 0.1723 0.2500
0.8277 0.6554 0.2500
0.1723 0.3446 0.7500
0.8277 0.1723 0.2500
0.1723 0.8277 0.7500
0.0000 0.0000 0.5000
0.0000 0.0000 0.0000
0.6667 0.3333 0.5677
0.3333 0.6667 0.4323
0.3333 0.6667 0.0677
0.6667 0.3333 0.9323
```

Output
E_form: -440 meV per atom
D(E_F): 0.58 states/eV per atom
symmetry: P6_3/mmc
calculated volume: 63.3 Å³/f.u.
total energy: -3.1247 eV per atom
total magnetic moment: 0.0 μB per formula unit

=====

Entry 5:
VASP calculation (PBE) on a relaxed Ca5Ga3 crystal.

Structure (POSCAR):
```
Ca5Ga3
1.0
-2.2719 7.9382 4.3637
-7.3214 3.4966 -4.6248
1.3153 -8.5613 3.4916
Ca Ga
10 6
Direct
0.0000 0.0000 0.0000
0.4677 0.9677 0.1463
0.1786 0.6786 0.1463
0.0323 0.1786 0.5000
0.5323 0.0323 0.8537
0.6786 0.5323 0.5000
0.8214 0.3214 0.8537
0.3214 0.4677 0.5000
0.5000 0.5000 0.0000
0.9677 0.8214 0.5000
0.1116 0.6116 0.7232
0.8884 0.3884 0.2768
0.6116 0.8884 0.5000
0.7500 0.7500 0.0000
0.3884 0.1116 0.5000
0.2500 0.2500 0.0000
```

Output
E_form: -380 meV per atom
D(E_F): 0.86 states/eV per atom
symmetry: I4/mcm
calculated volume: 235.2 Å³/f.u.
total energy: -2.7658 eV per atom
total magnetic moment: 0.0 μB per formula unit

=====

Entry 6:
VASP calculation (PBE) on a relaxed Ca3Ga4 crystal.

Structure (POSCAR):
```
Ca3Ga4
1.0
4.3723 0.0000 0.0000
0.0000 4.1076 0.0000
-2.1862 -2.0538 9.6120
Ga Ca
4 3
Direct
0.6392 0.6392 0.2784
0.0656 0.5656 0.1313
0.9344 0.4344 0.8687
0.3608 0.3608 0.7216
0.1883 0.1883 0.3766
0.8117 0.8117 0.6234
0.5000 0.0000 0.0000
```

Output
E_form: -479 meV per atom
D(E_F): 0.51 states/eV per atom
symmetry: Immm
calculated volume: 172.6 Å³/f.u.
total energy: -3.0668 eV per atom
total magnetic moment: 0.0 μB per formula unit

=====

Entry 7:
VASP calculation (PBE) on a relaxed Ca3Ga8 crystal.

Structure (POSCAR):
```
Ca3Ga8
1.0
13.2426 -0.0106 -0.0116
11.8324 5.9465 0.0116
-12.5356 -2.9758 3.0609
Ca Ga
3 8
Direct
0.8539 0.3539 0.5000
0.1461 0.6461 0.5000
0.0000 0.0000 0.0000
0.3088 0.8088 0.5000
0.4054 0.9054 0.5000
0.7499 0.7499 0.0000
0.5946 0.0946 0.5000
0.6912 0.1912 0.5000
0.2501 0.2501 0.0000
0.5482 0.5482 0.0000
0.4518 0.4518 0.0000
```

Output
E_form: -442 meV per atom
D(E_F): 0.31 states/eV per atom
symmetry: Immm
calculated volume: 241.4 Å³/f.u.
total energy: -3.1891 eV per atom
total magnetic moment: 0.0 μB per formula unit

=====

Entry 8:
VASP calculation (PBE) on a relaxed Ca28Ga11 crystal.

Structure (POSCAR):
```
Ca28Ga11
1.0
-2.3710 0.6785 -4.7049
-6.6564 -0.5075 3.2813
4.3891 30.1271 5.1316
Ca Ga
28 11
Direct
0.3828 0.3581 0.7657
0.8530 0.5653 0.7061
0.6760 0.5919 0.3520
0.1823 0.2822 0.3645
0.8177 0.9176 0.6355
0.2759 0.8009 0.5518
0.0829 0.7015 0.1657
0.0000 0.5591 0.0000
0.5434 0.6733 0.0868
0.7938 0.4658 0.5876
0.4403 0.1154 0.8807
0.5597 0.2348 0.1193
0.0299 0.9930 0.0598
0.4566 0.5864 0.9132
0.6371 0.1697 0.2742
0.9171 0.5358 0.8343
0.2062 0.8782 0.4124
0.9701 0.9332 0.9402
0.3240 0.2399 0.6480
0.7378 0.7286 0.4755
0.0965 0.1867 0.1929
0.7241 0.2491 0.4482
0.6172 0.5924 0.2343
0.1470 0.8592 0.2939
0.2622 0.2531 0.5245
0.5000 0.2441 0.0000
0.9035 0.9938 0.8071
0.3629 0.8955 0.7258
0.5907 0.9332 0.1814
0.7727 0.0606 0.5455
0.6801 0.0029 0.3601
0.0436 0.4040 0.0871
0.8607 0.1684 0.7213
0.1393 0.4470 0.2787
0.3199 0.6427 0.6399
0.5000 0.8366 0.0000
0.2273 0.5152 0.4545
0.9564 0.3169 0.9129
0.4093 0.7518 0.8186
```

Output
E_form: -313 meV per atom
D(E_F): 0.35 states/eV per atom
symmetry: Imm2
calculated volume: 1206.5 Å³/f.u.
total energy: -2.6037 eV per atom
total magnetic moment: 0.0 μB per formula unit

=====

Entry 9:
VASP calculation (PBE) on a relaxed CaGa4 crystal.

Structure (POSCAR):
```
CaGa4
1.0
-2.3313 2.0136 -4.6482
-5.0397 -1.4392 1.9041
-0.5120 4.9969 2.4215
Ga Ca
4 1
Direct
0.0000 0.5000 0.5000
0.5000 0.5000 0.0000
0.5000 0.0000 0.5000
0.0000 0.0000 0.0000
0.5000 0.5000 0.5000
```

Output
E_form: 737 meV per atom
D(E_F): 0.83 states/eV per atom
symmetry: Pm-3m
calculated volume: 173.4 Å³/f.u.
total energy: -2.0849 eV per atom
total magnetic moment: 0.0 μB per formula unit

=====

Entry 10:
VASP calculation (PBE) on a relaxed CaGa2 crystal.

Structure (POSCAR):
```
CaGa2
1.0
-2.1590 -1.6014 -3.6113
1.0426 -2.7550 3.4044
-6.4534 1.5022 3.1921
Ga Ca
4 2
Direct
0.6667 0.3333 0.9576
0.3333 0.6667 0.4576
0.6667 0.3333 0.5424
0.3333 0.6667 0.0424
0.0000 0.0000 0.2500
0.0000 0.0000 0.7500
```

Output
E_form: -522 meV per atom
D(E_F): 0.13 states/eV per atom
symmetry: P6_3/mmc
calculated volume: 64.5 Å³/f.u.
total energy: -3.2072 eV per atom
total magnetic moment: 0.0 μB per formula unit

=====

Entry 11:
VASP calculation (PBE) on a relaxed CaGa7 crystal.

Structure (POSCAR):
```
CaGa7
1.0
3.7524 0.0455 1.2524
1.2202 6.5297 3.0258
-0.1119 1.1104 7.2136
Ga Ca
7 1
Direct
0.3635 0.4262 0.8239
0.6365 0.1761 0.5738
0.6365 0.5738 0.1761
0.2656 0.2566 0.2566
0.3635 0.8239 0.4262
0.7344 0.7434 0.7434
0.0000 0.5000 0.5000
0.0000 0.0000 0.0000
```

Output
E_form: -144 meV per atom
D(E_F): 0.25 states/eV per atom
symmetry: C2/m
calculated volume: 166.3 Å³/f.u.
total energy: -3.0425 eV per atom
total magnetic moment: 0.0 μB per formula unit

=====

Entry 12:
VASP calculation (PBE) on a relaxed CaGa6 crystal.

Structure (POSCAR):
```
CaGa6
1.0
-2.6122 3.0459 4.5017
-4.2234 -4.2814 0.4462
4.4261 -3.8284 5.1587
Ga Ca
12 2
Direct
0.0000 0.0000 0.8389
0.5000 0.5000 0.8389
0.6958 0.8042 0.6511
0.3042 0.8042 0.3489
0.3042 0.1958 0.6511
0.8042 0.6958 0.3489
0.0000 0.0000 0.1611
0.1958 0.3042 0.3489
0.8042 0.3042 0.6511
0.6958 0.1958 0.3489
0.5000 0.5000 0.1611
0.1958 0.6958 0.6511
0.5000 0.0000 0.0000
0.0000 0.5000 0.0000
```

Output
E_form: -256 meV per atom
D(E_F): 0.34 states/eV per atom
symmetry: P4/nbm
calculated volume: 141.9 Å³/f.u.
total energy: -3.1368 eV per atom
total magnetic moment: 0.0 μB per formula unit